(1)
{"formula": "GaSn2N", "functional": "GGA-PBE", "state": "relaxed", "raw_formation_energy_ev_per_fu": 0.662, "polymorph_energy_ev_per_atom": 0.2061, "total_energy_ev_per_atom": -4.6741, "cell": [[5.709, 0.000, 0.000], [2.760, 5.698, 0.000], [2.652, 1.579, 6.090]], "species": ["Ga", "Ga", "Sn", "Sn", "Sn", "Sn", "N", "N"], "fractional_positions": [[0.000, 0.000, 0.000], [0.480, 0.737, 0.228], [0.156, 0.489, 0.162], [0.213, 0.032, 0.525], [0.489, 0.148, 0.880], [0.694, 0.227, 0.356], [0.724, 0.633, 0.729], [0.951, 0.571, 0.670]]}

(2)
{"formula": "Ga2SnN", "functional": "GGA-PBE", "state": "relaxed", "raw_formation_energy_ev_per_fu": 4.062, "polymorph_energy_ev_per_atom": 0.8980, "total_energy_ev_per_atom": -3.5801, "cell": [[6.603, 0.000, 0.000], [0.000, 6.603, 0.000], [0.000, 0.000, 6.603]], "species": ["Ga", "Ga", "Ga", "Ga", "Ga", "Ga", "Ga", "Ga", "Sn", "Sn", "Sn", "Sn", "N", "N", "N", "N"], "fractional_positions": [[0.250, 0.250, 0.250], [0.250, 0.250, 0.750], [0.250, 0.750, 0.250], [0.250, 0.750, 0.750], [0.750, 0.250, 0.250], [0.750, 0.250, 0.750], [0.750, 0.750, 0.250], [0.750, 0.750, 0.750], [0.000, 0.000, 0.000], [0.000, 0.500, 0.500], [0.500, 0.000, 0.500], [0.500, 0.500, 0.000], [0.000, 0.000, 0.500], [0.000, 0.500, 0.000], [0.500, 0.000, 0.000], [0.500, 0.500, 0.500]]}

(3)
{"formula": "Ga2SnN", "functional": "GGA-PBE", "state": "relaxed", "raw_formation_energy_ev_per_fu": 0.470, "polymorph_energy_ev_per_atom": 0.0000, "total_energy_ev_per_atom": -4.4780, "cell": [[5.511, 0.000, 0.000], [0.000, 5.511, 0.000], [0.000, 0.000, 10.137]], "species": ["Ga", "Ga", "Ga", "Ga", "Ga", "Ga", "Ga", "Ga", "Sn", "Sn", "Sn", "Sn", "N", "N", "N", "N"], "fractional_positions": [[0.144, 0.250, 0.125], [0.250, 0.644, 0.375], [0.250, 0.856, 0.875], [0.356, 0.250, 0.625], [0.644, 0.750, 0.625], [0.750, 0.144, 0.875], [0.750, 0.356, 0.375], [0.856, 0.750, 0.125], [0.000, 0.000, 0.500], [0.000, 0.500, 0.750], [0.500, 0.000, 0.250], [0.500, 0.500, 0.000], [0.000, 0.000, 0.000], [0.000, 0.500, 0.250], [0.500, 0.000, 0.750], [0.500, 0.500, 0.500]]}

(4)
{"formula": "GaSnN3", "functional": "GGA-PBE", "state": "relaxed", "raw_formation_energy_ev_per_fu": 7.036, "total_energy_ev_per_atom": -4.9939, "cell": [[3.982, 0.000, 0.000], [0.000, 3.982, 0.000], [0.000, 0.000, 3.982]], "species": ["Ga", "Sn", "N", "N", "N"], "fractional_positions": [[0.000, 0.000, 0.000], [0.500, 0.500, 0.500], [0.000, 0.000, 0.500], [0.000, 0.500, 0.000], [0.500, 0.000, 0.000]]}

(5)
{"formula": "GaSn2N", "functional": "GGA-PBE", "state": "relaxed", "raw_formation_energy_ev_per_fu": 0.337, "polymorph_energy_ev_per_atom": 0.1249, "total_energy_ev_per_atom": -4.7553, "cell": [[3.144, 0.000, 0.000], [1.545, 4.821, 0.000], [0.301, 2.437, 5.789]], "species": ["Ga", "Sn", "Sn", "N"], "fractional_positions": [[0.000, 0.000, 0.000], [0.185, 0.688, 0.699], [0.277, 0.384, 0.296], [0.383, 0.239, 0.998]]}

(6)
{"formula": "GaSn2N", "functional": "GGA-PBE", "state": "relaxed", "raw_formation_energy_ev_per_fu": 3.732, "polymorph_energy_ev_per_atom": 0.9737, "total_energy_ev_per_atom": -3.9064, "cell": [[6.743, 0.000, 0.000], [0.000, 6.743, 0.000], [0.000, 0.000, 6.743]], "species": ["Ga", "Ga", "Ga", "Ga", "Sn", "Sn", "Sn", "Sn", "Sn", "Sn", "Sn", "Sn", "N", "N", "N", "N"], "fractional_positions": [[0.000, 0.000, 0.000], [0.000, 0.500, 0.500], [0.500, 0.000, 0.500], [0.500, 0.500, 0.000], [0.250, 0.250, 0.250], [0.250, 0.250, 0.750], [0.250, 0.750, 0.250], [0.250, 0.750, 0.750], [0.750, 0.250, 0.250], [0.750, 0.250, 0.750], [0.750, 0.750, 0.250], [0.750, 0.750, 0.750], [0.000, 0.000, 0.500], [0.000, 0.500, 0.000], [0.500, 0.000, 0.000], [0.500, 0.500, 0.500]]}

| no. | M_tot (μB per cell) |
| --- | --- |
| 1 | 0.0 |
| 2 | 3.6 |
| 3 | 0.0 |
| 4 | 3.9 |
| 5 | 0.0 |
| 6 | 0.0 |